(A)
Density functional theory data (GGA-PBE) for LiCF2 after structural relaxation.

N(E_F)	0.19	states/eV per cell

a = 4.122 Å, b = 4.122 Å, c = 6.306 Å
α = 70.92°, β = 70.92°, γ = 90.00°
Fractional positions:
C 0.750 0.250 0.500
C 0.000 0.000 0.000
F 0.620 0.125 0.250
F 0.375 0.380 0.750
F 0.875 0.870 0.750
F 0.130 0.625 0.250
Li 0.250 0.750 0.500
Li 0.500 0.500 0.000

(B)
Density functional theory data (GGA-PBE) for LiCF2 after structural relaxation.

N(E_F)	0.57	states/eV per cell

a = 6.028 Å, b = 6.028 Å, c = 6.028 Å
α = 26.20°, β = 26.20°, γ = 26.20°
Fractional positions:
Li 0.500 0.500 0.500
F 0.101 0.101 0.101
F 0.899 0.899 0.899
C 0.000 0.000 0.000

Consider the structures shown above. The most stable of them is (B).